1.
LiMg4TlCd2 | GGA-PBE | optimized geometry

a = 4.274 Å, b = 4.274 Å, c = 11.176 Å
α = 90.00°, β = 90.00°, γ = 90.00°
Sites, in units of the cell vectors:
Li 0.000 0.000 0.000
Mg 0.000 0.500 0.306
Mg 0.000 0.500 0.694
Mg 0.500 0.000 0.306
Mg 0.500 0.000 0.694
Tl 0.000 0.000 0.500
Cd 0.500 0.500 0.123
Cd 0.500 0.500 0.877

## Properties
The formation energy comes out at 0.055 eV per atom. The space group is P4/mmm.

=====

2.
NdScNiPd | GGA-PBE | optimized geometry

a = 4.846 Å, b = 4.846 Å, c = 4.846 Å
α = 60.00°, β = 60.00°, γ = 60.00°
Sites, in units of the cell vectors:
Nd 0.000 0.000 0.000
Sc 0.500 0.500 0.500
Ni 0.250 0.250 0.250
Pd 0.750 0.750 0.750

## Properties
The formation energy comes out at -0.502 eV per atom. The space group is F-43m.

=====

3.
Nd2GaSi3Rh4 | GGA-PBE | optimized geometry

a = 4.209 Å, b = 4.209 Å, c = 9.914 Å
α = 90.00°, β = 90.00°, γ = 90.00°
Sites, in units of the cell vectors:
Nd 0.000 0.500 0.248
Nd 0.500 0.000 0.752
Ga 0.500 0.500 0.000
Si 0.000 0.000 0.000
Si 0.000 0.500 0.626
Si 0.500 0.000 0.374
Rh 0.000 0.000 0.500
Rh 0.000 0.500 0.867
Rh 0.500 0.000 0.133
Rh 0.500 0.500 0.500

## Properties
The space group is P-4m2. The calculation puts the uncorrected formation energy at -9.96 eV/f.u.

=====

4.
Cs2TaFeI6 | GGA-PBE | optimized geometry

a = 8.161 Å, b = 8.161 Å, c = 8.161 Å
α = 60.00°, β = 60.00°, γ = 60.00°
Sites, in units of the cell vectors:
Cs 0.250 0.250 0.250
Cs 0.750 0.750 0.750
Ta 0.000 0.000 0.000
Fe 0.500 0.500 0.500
I 0.250 0.250 0.750
I 0.250 0.750 0.250
I 0.250 0.750 0.750
I 0.750 0.250 0.250
I 0.750 0.250 0.750
I 0.750 0.750 0.250

## Properties
The space group is Fm-3m. The calculation puts the uncorrected formation energy at -5.16 eV/f.u.

=====

5.
PmSmDyMg | GGA-PBE | optimized geometry

a = 3.661 Å, b = 3.661 Å, c = 9.185 Å
α = 90.00°, β = 90.00°, γ = 90.00°
Sites, in units of the cell vectors:
Pm 0.000 0.000 0.000
Sm 0.500 0.500 0.726
Dy 0.500 0.500 0.268
Mg 0.000 0.000 0.492

## Properties
Its energy relative to the lowest polymorph listed for this composition is 0.00 eV per formula unit. The formation energy comes out at -0.032 eV per atom. The space group is P4mm.

=====

6.
SrErTe | GGA-PBE | optimized geometry

a = 4.147 Å, b = 4.147 Å, c = 14.817 Å
α = 90.00°, β = 90.00°, γ = 120.00°
Sites, in units of the cell vectors:
Sr 0.000 0.000 0.208
Sr 0.000 0.000 0.792
Er 0.000 0.000 0.500
Er 0.667 0.333 0.000
Te 0.667 0.333 0.369
Te 0.667 0.333 0.631

## Properties
The space group is P-6m2. The calculation puts the uncorrected formation energy at -2.28 eV/f.u.

=====

7.
Th2ScMn | GGA-PBE | optimized geometry

a = 11.467 Å, b = 11.467 Å, c = 11.467 Å
α = 16.56°, β = 16.56°, γ = 16.56°
Sites, in units of the cell vectors:
Th 0.092 0.092 0.092
Th 0.908 0.908 0.908
Sc 0.000 0.000 0.000
Mn 0.500 0.500 0.500

## Properties
Its energy relative to the lowest polymorph listed for this composition is 1.26 eV per formula unit. The formation energy comes out at 0.473 eV per atom. The space group is R-3m.

=====

8.
Ti2ZnH2 | GGA-PBE | optimized geometry

a = 5.180 Å, b = 5.180 Å, c = 5.180 Å
α = 142.03°, β = 142.03°, γ = 54.78°
Sites, in units of the cell vectors:
Ti 0.153 0.153 0.000
Ti 0.847 0.847 0.000
Zn 0.500 0.500 0.000
H 0.250 0.750 0.500
H 0.750 0.250 0.500

## Properties
Its energy relative to the lowest polymorph listed for this composition is 0.00 eV per formula unit. The space group is I4/mmm.

=====

9.
OsSe | GGA-PBE | optimized geometry

a = 4.355 Å, b = 4.355 Å, c = 4.355 Å
α = 40.36°, β = 40.36°, γ = 40.36°
Sites, in units of the cell vectors:
Os 0.000 0.000 0.000
Se 0.500 0.500 0.500

## Properties
The space group is R-3m. The calculation puts the uncorrected formation energy at 1.34 eV/f.u.

=====

10.
ErSc2CdHg4 | GGA-PBE | optimized geometry

a = 8.849 Å, b = 8.849 Å, c = 8.849 Å
α = 32.88°, β = 32.88°, γ = 32.88°
Sites, in units of the cell vectors:
Er 0.000 0.000 0.000
Sc 0.244 0.244 0.244
Sc 0.756 0.756 0.756
Cd 0.500 0.500 0.500
Hg 0.123 0.123 0.123
Hg 0.372 0.372 0.372
Hg 0.628 0.628 0.628
Hg 0.877 0.877 0.877

## Properties
The formation energy comes out at -0.351 eV per atom. The space group is R-3m.

=====

11.
Ca2ScMo | GGA-PBE | optimized geometry

a = 3.105 Å, b = 5.401 Å, c = 6.068 Å
α = 90.00°, β = 101.37°, γ = 90.00°
Sites, in units of the cell vectors:
Ca 0.248 0.000 0.264
Ca 0.752 0.000 0.736
Sc 0.500 0.500 0.000
Mo 0.000 0.500 0.500

## Properties
Its energy relative to the lowest polymorph listed for this composition is 1.38 eV per formula unit. The formation energy comes out at 0.687 eV per atom. The space group is P2/m.

=====

12.
Rb2MoBr6Cl | GGA-PBE | optimized geometry

a = 7.301 Å, b = 7.302 Å, c = 7.336 Å
α = 77.00°, β = 76.95°, γ = 77.11°
Sites, in units of the cell vectors:
Rb 0.000 0.000 0.000
Rb 0.409 0.407 0.408
Mo 0.705 0.704 0.704
Br 0.013 0.828 0.560
Br 0.396 0.581 0.846
Br 0.560 0.012 0.826
Br 0.582 0.848 0.396
Br 0.827 0.560 0.011
Br 0.849 0.396 0.581
Cl 0.205 0.205 0.203

## Properties
Its energy relative to the lowest polymorph listed for this composition is 0.00 eV per formula unit. The space group is P1. The calculation puts the uncorrected formation energy at -9.58 eV/f.u.

=====

no.,E_tot (eV per atom)
1,-1.506
2,-6.020
3,-6.819
4,-3.648
5,-3.948
6,-3.887
7,-7.112
8,-5.112
9,-6.689
10,-2.770
11,-4.605
12,-3.423